1.
## ScNb2Sb2 (PBE-GGA)

Data for crystalline ScNb2Sb2 at its relaxed geometry.

Values from the calculation:
Total magnetic moment: 0.0 Bohr magnetons per cell
DFT total energy: -36.11 eV per formula unit
Symmetry: No. 127

Cell lengths 7.740, 7.740, 3.511 Å; angles 90.00, 90.00, 90.00 degrees
Fractional coordinates of all 10 atoms:
Sc 0.000 0.000 0.000
Sc 0.500 0.500 0.000
Nb 0.142 0.358 0.500
Nb 0.358 0.858 0.500
Nb 0.642 0.142 0.500
Nb 0.858 0.642 0.500
Sb 0.151 0.651 0.000
Sb 0.349 0.151 0.000
Sb 0.651 0.849 0.000
Sb 0.849 0.349 0.000

---

2.
## Sc2NbSb (PBE-GGA)

Data for crystalline Sc2NbSb at its relaxed geometry.

Values from the calculation:
Total magnetic moment: 0.0 Bohr magnetons per cell
DFT total energy: -26.24 eV per formula unit
Symmetry: No. 166

Cell lengths 10.746, 10.746, 10.746 Å; angles 17.29, 17.29, 17.29 degrees
Fractional coordinates of all 4 atoms:
Sc 0.093 0.093 0.093
Sc 0.907 0.907 0.907
Nb 0.500 0.500 0.500
Sb 0.000 0.000 0.000